A plane-wave DFT calculation with PBE-GGA was carried out for an optimized crystal structure of Gd3Mg3Cd2.

## Properties
For the total DFT energy (no corrections), the calculation gives -21.9 eV for the cell shown. The energy above the most stable polymorph in this dataset comes out at 0.0 meV per atom.

Cell lengths 6.5148, 5.2277, 6.5887 Å; angles 90.00, 114.17, 90.00 degrees
Closest atoms and distances in Å follow each position.
Positions (direct):
Gd  0.3788  0.5000  0.1207  3 Cd 3.05-3.26, 4 Mg 3.14-3.40
Gd  0.8110  0.5000  0.6557  4 Cd 3.17-3.35, 6 Mg 3.22-3.43, 1 Gd 3.50
Gd  0.1781  0.0000  0.3560  4 Cd 3.11-3.29, 4 Mg 3.19-3.35
Mg  0.1243  0.0000  0.8285  2 Mg 3.18-3.36, 6 Gd 3.22-3.35, 3 Cd 3.27-3.36
Mg  0.8791  0.5000  0.1702  6 Gd 3.14-3.40, 3 Cd 3.22-3.35, 2 Mg 3.26
Mg  0.6303  0.0000  0.8781  3 Cd 3.02-3.30, 4 Mg 3.18-3.36
Cd  0.3166  0.5000  0.6362  5 Gd 3.05-3.35, 5 Mg 3.22-3.36
Cd  0.6818  0.0000  0.3545  4 Mg 3.02-3.35, 6 Gd 3.18-3.29

A plane-wave DFT calculation with PBE-GGA was carried out for an optimized crystal structure of Nd2GdMg3Tl2Cd.

## Properties
For the total DFT energy (no corrections), the calculation gives -27.6 eV for the cell shown.

Cell lengths 4.7161, 7.6566, 7.6566 Å; angles 119.57, 90.00, 90.00 degrees
Closest atoms and distances in Å follow each position.
Positions (direct):
Mg  0.5000  0.2393  0.0008  2 Cd 2.97, 2 Tl 2.98-3.01, 2 Mg 3.16-3.18
Mg  0.5000  0.0008  0.2393  2 Cd 2.97, 2 Tl 2.98-3.01, 2 Mg 3.16-3.18
Mg  0.5000  0.7611  0.7611  2 Tl 2.97, 2 Cd 3.01, 2 Mg 3.18
Cd  0.0000  0.0048  0.0048  6 Mg 2.97-3.01, 1 Gd 3.21, 2 Nd 3.26
Nd  0.0000  0.5764  0.9991  1 Cd 3.26, 4 Tl 3.30, 2 Mg 3.50
Nd  0.0000  0.9991  0.5764  1 Cd 3.26, 4 Tl 3.30, 2 Mg 3.50
Tl  0.5000  0.3344  0.6628  3 Mg 2.97-3.01, 2 Gd 3.26, 4 Nd 3.30
Tl  0.5000  0.6628  0.3344  3 Mg 2.97-3.01, 2 Gd 3.26, 4 Nd 3.30
Gd  0.0000  0.4213  0.4213  1 Cd 3.21, 4 Tl 3.26, 2 Mg 3.52

A plane-wave DFT calculation with PBE-GGA was carried out for an optimized crystal structure of GdMgCdP2.

## Properties
For the total DFT energy (no corrections), the calculation gives -21.5 eV for the cell shown.

Cell lengths 4.2402, 4.2402, 6.8559 Å; angles 90.00, 90.00, 120.00 degrees
Closest atoms and distances in Å follow each position.
Positions (direct):
P  0.0000  0.0000  0.2391  3 Mg 2.59, 1 Cd 2.74
P  0.6667  0.3333  0.7561  3 Cd 2.58, 1 Mg 2.70
Gd  0.3333  0.6667  0.0038  6 P 2.93-2.98
Mg  0.6667  0.3333  0.3619  4 P 2.59-2.70
Cd  0.0000  0.0000  0.6391  4 P 2.58-2.74

A plane-wave DFT calculation with PBE-GGA was carried out for an optimized crystal structure of Gd2MgCdPd4.

## Properties
For the total DFT energy (no corrections), the calculation gives -32.8 eV for the cell shown.

Cell lengths 5.3203, 9.3526, 9.3526 Å; angles 29.97, 90.00, 90.00 degrees
Closest atoms and distances in Å follow each position.
Positions (direct):
Pd  0.7419  0.4271  0.4271  3 Pd 2.57-2.75, 2 Gd 2.82, 1 Cd 2.87
Pd  0.2591  0.5771  0.5771  3 Pd 2.56-2.76, 1 Mg 2.73, 2 Gd 2.80
Pd  0.2581  0.4271  0.4271  3 Pd 2.57-2.75, 2 Gd 2.82, 1 Cd 2.87
Pd  0.7409  0.5771  0.5771  3 Pd 2.56-2.76, 1 Mg 2.73, 2 Gd 2.80
Gd  0.0000  0.9011  0.9011  4 Pd 2.82
Gd  0.0000  0.0955  0.0955  4 Pd 2.80
Cd  0.0000  0.2874  0.2874  2 Mg 2.82, 2 Pd 2.87
Mg  0.0000  0.7075  0.7075  2 Pd 2.73, 2 Cd 2.82